# 1
# Pr6Sm2Er3Tm (PBE, optimized geometry)
# ΔH_f (0 K): 0.014 eV/atom
data_Pr6Sm2Er3Tm
_chemical_formula_sum 'Pr12 Sm4 Er6 Tm2'
_cell_length_a 6.308
_cell_length_b 10.929
_cell_length_c 11.903
_cell_angle_alpha 90.00
_cell_angle_beta 100.17
_cell_angle_gamma 90.00
_symmetry_space_group_name_H-M 'C 1 2/m 1'
_symmetry_Int_Tables_number 12
_symmetry_space_group_name_Hall '-C 2y'
loop_
_atom_site_label
_atom_site_type_symbol
_atom_site_fract_x
_atom_site_fract_y
_atom_site_fract_z
Pr1 Pr 0.249 0.000 0.248
Pr2 Pr 0.250 0.166 0.752
Sm1 Sm 0.000 0.333 0.500
Er1 Er 0.000 0.167 0.000
Er2 Er 0.000 0.500 0.000
Tm1 Tm 0.000 0.000 0.500



# 2
This record from Alexandria via LeMat-Bulk describes a relaxed structure of AcGd3H. The functional is PBE.

Cell and atoms, written as CIF:
```
data_AcGd3H
_chemical_formula_sum 'Ac1 Gd3 H1'
_cell_length_a 5.166
_cell_length_b 5.166
_cell_length_c 5.166
_cell_angle_alpha 90.00
_cell_angle_beta 90.00
_cell_angle_gamma 90.00
_symmetry_space_group_name_H-M 'P m -3 m'
_symmetry_Int_Tables_number 221
_symmetry_space_group_name_Hall '-P 4 2 3'
loop_
_atom_site_label
_atom_site_type_symbol
_atom_site_fract_x
_atom_site_fract_y
_atom_site_fract_z
Ac1 Ac 0.000 0.000 0.000
Gd1 Gd 0.000 0.500 0.500
H1 H 0.500 0.500 0.500
```



# 3
# SrIr2Pb (PBE, optimized geometry)
# ΔH_f (0 K): 0.214 eV/atom
data_SrIr2Pb
_chemical_formula_sum 'Sr2 Ir4 Pb2'
_cell_length_a 3.090
_cell_length_b 5.108
_cell_length_c 11.007
_cell_angle_alpha 90.00
_cell_angle_beta 90.00
_cell_angle_gamma 90.00
_symmetry_space_group_name_H-M 'I m m 2'
_symmetry_Int_Tables_number 44
_symmetry_space_group_name_Hall 'I 2 -2'
loop_
_atom_site_label
_atom_site_type_symbol
_atom_site_fract_x
_atom_site_fract_y
_atom_site_fract_z
Sr1 Sr 0.000 0.000 0.000
Ir1 Ir 0.000 0.000 0.479
Ir2 Ir 0.000 0.500 0.786
Pb1 Pb 0.000 0.500 0.209



# 4
# YNpGe2 (PBE, optimized geometry)
# ΔH_f (0 K): -0.315 eV/atom
data_YNpGe2
_chemical_formula_sum 'Y3 Np3 Ge6'
_cell_length_a 4.7033
_cell_length_b 4.7033
_cell_length_c 14.6807
_cell_angle_alpha 90.00
_cell_angle_beta 90.00
_cell_angle_gamma 120.00
_symmetry_space_group_name_H-M 'R -3 m'
_symmetry_Int_Tables_number 166
_symmetry_space_group_name_Hall '-R 3 2"'
loop_
_atom_site_label
_atom_site_type_symbol
_atom_site_fract_x
_atom_site_fract_y
_atom_site_fract_z
Y1 Y 0.0000 0.0000 0.0000
Np1 Np 0.0000 0.0000 0.5000
Ge1 Ge 0.0000 0.0000 0.2473



# 5
# KBe2Ru (PBE, optimized geometry)
# ΔH_f (0 K): 1.284 eV/atom
# Excess energy over the best structure of this formula in the dataset: 1061 meV per atom
data_KBe2Ru
_chemical_formula_sum 'K2 Be4 Ru2'
_cell_length_a 3.854
_cell_length_b 3.854
_cell_length_c 8.244
_cell_angle_alpha 90.00
_cell_angle_beta 90.00
_cell_angle_gamma 90.00
_symmetry_space_group_name_H-M 'I -4 m 2'
_symmetry_Int_Tables_number 119
_symmetry_space_group_name_Hall 'I -4 -2'
loop_
_atom_site_label
_atom_site_type_symbol
_atom_site_fract_x
_atom_site_fract_y
_atom_site_fract_z
K1 K 0.000 0.000 0.000
Be1 Be 0.000 0.000 0.500
Be2 Be 0.000 0.500 0.250
Ru1 Ru 0.000 0.500 0.750



# 6
# Be2AlAu7 (PBE, optimized geometry)
# ΔH_f (0 K): -0.148 eV/atom
data_Be2AlAu7
_chemical_formula_sum 'Be4 Al2 Au14'
_cell_length_a 4.084
_cell_length_b 4.084
_cell_length_c 19.749
_cell_angle_alpha 90.00
_cell_angle_beta 90.00
_cell_angle_gamma 90.00
_symmetry_space_group_name_H-M 'I 4/m m m'
_symmetry_Int_Tables_number 139
_symmetry_space_group_name_Hall '-I 4 2'
loop_
_atom_site_label
_atom_site_type_symbol
_atom_site_fract_x
_atom_site_fract_y
_atom_site_fract_z
Be1 Be 0.000 0.000 0.176
Al1 Al 0.000 0.000 0.500
Au1 Au 0.000 0.000 0.000
Au2 Au 0.000 0.500 0.105
Au3 Au 0.000 0.500 0.250



no.,uncorrected energy (hartree per atom),theoretical density (g cm⁻³)
1,-0.1718,7.47
2,-0.3701,8.43
3,-0.2045,12.98
4,-0.2747,8.35
5,-0.1166,4.29
6,-0.1309,14.36